No. 1
VASP calculation (meta-GGA SCAN) on SrNi2P at its PBEsol-relaxed geometry.

Properties
Uncorrected energy, eV per atom: -16.33

```
SrNi2P
1.0
3.1390 0.0000 0.0000
0.0000 3.1390 0.0000
0.0000 0.0000 6.4977
Sr Ni P
1 2 1
direct
0.0000 0.0000 0.0000 Sr
0.0000 0.0000 0.5225 Ni
0.5000 0.5000 0.3236 Ni
0.5000 0.5000 0.6530 P
```

***

No. 2
VASP calculation (meta-GGA SCAN) on K2P2O5F2 at its PBEsol-relaxed geometry.

Properties
Energy relative to the elements, uncorrected, eV/f.u.: -28.83
Uncorrected energy, eV per atom: -9.50

```
K2P2O5F2
1.0
6.3634 -3.8128 0.0000
6.3634 3.8128 0.0000
-0.0043 0.0000 7.2217
K P O F
4 4 10 4
direct
0.0015 0.2786 0.3611 K
0.2786 0.0015 0.8611 K
0.7214 0.9985 0.1389 K
0.9985 0.7214 0.6389 K
0.1992 0.6066 0.1442 P
0.3934 0.8008 0.3558 P
0.6066 0.1992 0.6442 P
0.8008 0.3934 0.8558 P
0.0412 0.6180 0.2788 O
0.1345 0.7452 0.9803 O
0.2548 0.8655 0.5197 O
0.3820 0.9588 0.2212 O
0.3891 0.6109 0.2500 O
0.6109 0.3891 0.7500 O
0.6180 0.0412 0.7788 O
0.7452 0.1345 0.4803 O
0.8655 0.2548 0.0197 O
0.9588 0.3820 0.7212 O
0.3218 0.3770 0.0743 F
0.3770 0.3218 0.5743 F
0.6230 0.6782 0.4257 F
0.6782 0.6230 0.9257 F
```

***

No. 3
VASP calculation (meta-GGA SCAN) on LiCuRh2 at its PBEsol-relaxed geometry.

Properties
Uncorrected energy, eV per atom: -21.32

```
LiCuRh2
1.0
1.3090 0.7558 8.6356
-1.3090 0.7558 8.6356
0.0000 -1.5115 8.6356
Li Cu Rh
1 1 2
direct
0.0000 0.0000 0.0000 Li
0.5000 0.5000 0.5000 Cu
0.2490 0.2490 0.2490 Rh
0.7510 0.7510 0.7510 Rh
```

***

No. 4
VASP calculation (meta-GGA SCAN) on LiSiTc2 at its PBEsol-relaxed geometry.

Properties
Energy relative to the elements, uncorrected, eV/f.u.: -1.31
Uncorrected energy, eV per atom: -20.96

```
LiSiTc2
1.0
0.0000 2.9343 2.9343
2.9343 0.0000 2.9343
2.9343 2.9343 0.0000
Li Si Tc
1 1 2
direct
0.0000 0.0000 0.0000 Li
0.7500 0.7500 0.7500 Si
0.2500 0.2500 0.2500 Tc
0.5000 0.5000 0.5000 Tc
```

***

No. 5
VASP calculation (meta-GGA SCAN) on ZnAgPO4 at its PBEsol-relaxed geometry.

Properties
Energy relative to the elements, uncorrected, eV/f.u.: -12.68
Uncorrected energy, eV per atom: -13.27
Energy relative to the lowest polymorph listed for this composition, eV per atom: 0.012

```
ZnAgPO4
1.0
8.2606 0.0000 0.0000
-0.1941 9.9891 0.0000
-0.0109 -4.8995 8.9134
Zn Ag P O
8 8 8 32
direct
0.0000 0.0000 0.0000 Zn
0.9998 0.4692 0.5110 Zn
0.4813 0.6698 0.8711 Zn
0.4909 0.1632 0.8608 Zn
0.5037 0.6192 0.3600 Zn
0.5069 0.1251 0.3719 Zn
0.9887 0.9557 0.5041 Zn
0.9966 0.4955 0.0042 Zn
0.2919 0.3336 0.6742 Ag
0.3055 0.8184 0.6725 Ag
0.3214 0.7951 0.1875 Ag
0.3249 0.2914 0.1965 Ag
0.8089 0.7942 0.7069 Ag
0.8129 0.2973 0.6989 Ag
0.8154 0.3355 0.1847 Ag
0.8175 0.8353 0.1703 Ag
0.1080 0.1723 0.8365 P
0.1086 0.6727 0.8395 P
0.1204 0.1204 0.3395 P
0.1200 0.6245 0.3382 P
0.6066 0.9480 0.5330 P
0.6111 0.4664 0.5443 P
0.6136 0.0028 0.0321 P
0.6181 0.4951 0.0287 P
0.0137 0.2911 0.9731 O
0.0248 0.1467 0.6887 O
0.0799 0.5192 0.8390 O
0.1013 0.6366 0.1931 O
0.1093 0.1243 0.1897 O
0.1130 0.0211 0.8434 O
0.1163 0.2862 0.4708 O
0.1262 0.6372 0.6730 O
0.1260 0.7888 0.4722 O
0.2648 0.7575 0.9264 O
0.2793 0.5447 0.3395 O
0.2822 0.0509 0.3536 O
0.2818 0.2349 0.8378 O
0.4810 0.1036 0.0183 O
0.4809 0.5899 0.0137 O
0.5027 0.4887 0.6779 O
0.5083 0.9714 0.6732 O
0.5227 0.8236 0.3882 O
0.5475 0.3272 0.3985 O
0.5868 0.9828 0.1725 O
0.5893 0.4720 0.1674 O
0.6099 0.6105 0.5247 O
0.6129 0.8413 0.8928 O
0.6179 0.0988 0.5253 O
0.6304 0.3339 0.8901 O
0.7785 0.8971 0.5493 O
0.7805 0.0817 0.0405 O
0.7810 0.5823 0.0439 O
0.7879 0.4431 0.5816 O
0.9626 0.7795 0.9118 O
0.9781 0.5280 0.3538 O
0.9798 0.0189 0.3486 O
```

***

No. 6
VASP calculation (meta-GGA SCAN) on FeNi2W at its PBEsol-relaxed geometry.

Properties
Uncorrected energy, eV per atom: -29.99
Energy relative to the lowest polymorph listed for this composition, eV per atom: 0.019

```
FeNi2W
1.0
-1.8036 1.8036 3.5324
1.8036 -1.8036 3.5324
1.8036 1.8036 -3.5324
Fe Ni W
1 2 1
direct
0.0000 0.0000 0.0000 Fe
0.5000 0.5000 0.0000 Ni
0.7500 0.2500 0.5000 Ni
0.2500 0.7500 0.5000 W
```

***

- Which of these has the lowest uncorrected energy?
  FeNi2W

***

- Number 6 is which compound?
  FeNi2W